DFT (PBE) results for an optimized crystal structure of Er2CuRu3.

Output
Magnetization in Bohr magnetons per cell: 0.304
Energy relative to the elements in eV per atom: -0.317
Total energy in Ry per atom: -0.5262

a b c (Å): 5.2752 5.2752 5.2850
angles (deg): 90.08 119.89 119.96
With the nearest neighbours (Å) after each atom.
Sites, in units of the cell vectors:
Er: 0.2449 0.6223 0.8672  9 Ru 3.08-3.13, 3 Cu 3.10, 4 Er 3.17-3.26
Er: 0.7551 0.3777 0.1328  9 Ru 3.08-3.13, 3 Cu 3.10, 4 Er 3.17-3.26
Cu: 0.0000 0.0000 0.0000  6 Ru 2.64
Ru: 0.5000 0.0000 0.5000  4 Ru 2.64, 2 Cu 2.64
Ru: 0.0000 0.0000 0.5000  4 Ru 2.64, 2 Cu 2.64
Ru: 0.5000 0.5000 0.5000  4 Ru 2.64, 2 Cu 2.64



DFT (PBE) results for an optimized crystal structure of Er3CuRu.

Output
Magnetization in Bohr magnetons per cell: 0.000
Energy relative to the elements in eV per atom: -0.313
Total energy in Ry per atom: -0.4208

a b c (Å): 5.6232 6.2384 8.1510
angles (deg): 111.86 80.12 121.18
With the nearest neighbours (Å) after each atom.
Sites, in units of the cell vectors:
Er: 0.4957 0.1874 0.8756  4 Ru 2.96-3.08, 2 Cu 3.07-3.12
Er: 0.1303 0.4209 0.7097  2 Ru 2.77-2.78, 1 Cu 3.03
Er: 0.1558 0.2129 0.2856  2 Ru 2.75-2.76, 2 Cu 2.98-2.99
Er: 0.8697 0.5791 0.2903  2 Ru 2.77-2.78, 1 Cu 3.03
Er: 0.8442 0.7871 0.7144  2 Ru 2.75-2.76, 2 Cu 2.98-2.99
Er: 0.5043 0.8126 0.1244  4 Ru 2.96-3.08, 2 Cu 3.07-3.12
Ru: 0.9995 0.7485 0.0001  8 Er 2.75-3.08
Ru: 0.0005 0.2515 0.9999  8 Er 2.75-3.08
Cu: 0.4678 0.7901 0.4980  1 Cu 2.44
Cu: 0.5322 0.2099 0.5020  1 Cu 2.44